The following is a DFT calculation (PBE) of a geometry-optimized La2PdRh structure.

Cell: 3.632 3.632 7.277 Å, 90.00 90.00 90.00°
Fractional coordinates of all 4 atoms:
Rh  0.500  0.500  0.000
Pd  0.500  0.500  0.500
La  0.000  0.000  0.239
La  0.000  0.000  0.761

Properties
**Formation energy from the elements**: -736 meV per atom
**E**: -6.3357 eV per atom
**DOS(E_F)**: 0.654 states/eV/atom
**Theoretical density**: 8.43 g/cm3